Record 1
PBE LiTb6Ho, optimized geometry; uncorrected energy = -4.136 eV/atom; DOS at the Fermi energy = 1.39 states/eV per atom; magnetic moment = 0.00 μB/f.u.; formation energy from the elements = 1.189 eV/f.u.
1.0
-2.553 3.797 -7.034
-5.549 -4.008 -6.367
-5.716 0.899 -2.447
Li Tb Ho
1 6 1
Direct
0.000 0.000 0.000
0.238 0.049 0.143
0.762 0.951 0.857
0.049 0.430 0.283
0.430 0.763 0.758
0.951 0.570 0.717
0.570 0.237 0.242
0.500 0.500 0.500

***

Record 2
PBE LiTb6Ho2, optimized geometry; uncorrected energy = -4.211 eV/atom; DOS at the Fermi energy = 1.39 states/eV per atom; magnetic moment = 0.00 μB/f.u.; formation energy from the elements = 0.956 eV/f.u.
1.0
3.472 0.000 -0.088
0.000 10.324 0.000
-1.529 -5.162 7.893
Tb Li Ho
6 1 2
Direct
0.500 0.324 0.000
0.825 0.992 0.650
0.175 0.342 0.350
0.175 0.008 0.350
0.825 0.658 0.650
0.500 0.676 0.000
0.000 0.000 0.000
0.839 0.339 0.678
0.161 0.661 0.322

***

Record 3
PBE LiTbHoTc, optimized geometry; uncorrected energy = -5.406 eV/atom; DOS at the Fermi energy = 0.91 states/eV per atom; magnetic moment = 0.00 μB/f.u.; formation energy from the elements = -0.135 eV/f.u.
1.0
4.929 0.000 0.000
2.464 4.268 0.000
2.464 1.423 4.024
Ho Tc Tb Li
1 1 1 1
Direct
0.250 0.250 0.250
0.500 0.500 0.500
0.750 0.750 0.750
0.000 0.000 0.000

***

Record 4
PBE LiTb2HoTe5, optimized geometry; uncorrected energy = -4.740 eV/atom; magnetic moment = 0.00 μB/f.u.
1.0
4.326 0.000 0.000
-2.163 9.225 0.000
0.000 0.000 13.169
Ho Te Tb Li
2 10 4 2
Direct
0.197 0.394 0.009
0.803 0.606 0.509
0.046 0.092 0.075
0.498 0.995 0.783
0.282 0.564 0.669
0.502 0.005 0.283
0.954 0.908 0.575
0.638 0.275 0.498
0.718 0.436 0.169
0.312 0.623 0.343
0.362 0.725 0.998
0.688 0.377 0.843
0.106 0.211 0.684
0.873 0.746 0.799
0.127 0.254 0.299
0.894 0.789 0.184
0.557 0.115 0.963
0.443 0.885 0.463

***

Record 5
PBE Li4Tb3HoTe8, optimized geometry; uncorrected energy = -4.497 eV/atom; magnetic moment = 0.00 μB/f.u.
1.0
8.701 0.000 0.000
0.000 8.669 -0.032
-4.351 -4.347 6.155
Te Ho Tb Li
8 1 3 4
Direct
0.749 0.245 0.498
0.251 0.755 0.005
0.749 0.245 0.995
0.246 0.245 0.995
0.248 0.244 0.496
0.752 0.756 0.504
0.251 0.755 0.502
0.754 0.755 0.005
0.000 0.500 0.000
0.500 0.500 0.500
0.000 0.500 0.500
0.500 0.500 0.000
0.500 0.000 0.500
0.500 0.000 0.000
0.000 0.000 0.500
0.000 0.000 0.000

***

Record 6
PBE LiTbHo2Te4, optimized geometry; uncorrected energy = -4.834 eV/atom; DOS at the Fermi energy = 0.38 states/eV per atom; magnetic moment = 0.00 μB/f.u.
1.0
4.308 0.000 0.000
0.000 7.517 0.153
0.000 -2.609 7.039
Te Tb Ho Li
4 1 2 1
Direct
0.000 0.243 0.753
0.000 0.757 0.247
0.500 0.758 0.756
0.500 0.242 0.244
0.500 0.500 0.000
0.000 0.500 0.500
0.500 0.000 0.500
0.000 0.000 0.000

***

Record 7
PBE LiTb2Ho3Te6, optimized geometry; uncorrected energy = -4.946 eV/atom; DOS at the Fermi energy = 0.32 states/eV per atom; magnetic moment = 0.00 μB/f.u.
1.0
-3.386 -2.700 0.063
4.832 -6.147 -3.756
3.064 -0.153 9.209
Tb Te Ho Li
2 6 3 1
Direct
0.830 0.659 0.660
0.170 0.341 0.340
0.664 0.586 0.328
0.000 0.758 0.001
0.338 0.921 0.676
0.000 0.242 0.999
0.336 0.414 0.672
0.662 0.079 0.324
0.500 0.500 0.000
0.169 0.831 0.339
0.831 0.169 0.661
0.500 0.000 0.000

***

Record 8
PBE Li4TbHo3Te8, optimized geometry; uncorrected energy = -4.486 eV/atom; magnetic moment = 0.00 μB/f.u.
1.0
8.670 0.000 0.000
0.000 8.660 -0.018
-4.335 -4.332 6.131
Li Te Ho Tb
4 8 3 1
Direct
0.000 0.000 0.500
0.000 0.000 0.000
0.500 0.000 0.500
0.500 0.000 0.000
0.250 0.245 0.997
0.747 0.245 0.997
0.751 0.754 0.503
0.253 0.755 0.003
0.750 0.755 0.003
0.249 0.246 0.497
0.747 0.245 0.495
0.253 0.755 0.505
0.500 0.500 0.500
0.500 0.500 0.000
0.000 0.500 0.500
0.000 0.500 0.000

***

Record 9
PBE LiTb3Ho2Te6, optimized geometry; uncorrected energy = -4.957 eV/atom; DOS at the Fermi energy = 0.35 states/eV per atom; magnetic moment = 0.00 μB/f.u.
1.0
4.338 0.000 0.000
0.000 8.678 0.302
-2.169 -2.511 9.128
Ho Te Tb Li
2 6 3 1
Direct
0.168 0.338 0.337
0.832 0.662 0.663
0.001 0.240 0.002
0.338 0.918 0.677
0.334 0.418 0.668
0.999 0.760 0.998
0.662 0.082 0.323
0.666 0.582 0.332
0.168 0.830 0.337
0.500 0.500 0.000
0.832 0.170 0.663
0.500 0.000 0.000

***

Record 10
PBE Li3TbHo2Te6, optimized geometry; uncorrected energy = -4.488 eV/atom; magnetic moment = 0.00 μB/f.u.
1.0
7.513 -0.001 0.000
-3.756 6.507 0.000
-1.253 -2.170 7.058
Li Te Ho Tb
3 6 2 1
Direct
0.167 0.833 0.500
0.500 0.500 0.500
0.833 0.167 0.500
0.250 0.250 0.745
0.750 0.750 0.255
0.420 0.085 0.255
0.915 0.580 0.745
0.580 0.915 0.745
0.085 0.420 0.255
0.667 0.333 0.000
0.333 0.667 0.000
0.000 0.000 0.000

***

Record 11
PBE LiTbHoTe3, optimized geometry; uncorrected energy = -4.654 eV/atom; DOS at the Fermi energy = 0.46 states/eV per atom; magnetic moment = 0.00 μB/f.u.
1.0
-0.677 4.155 0.131
-7.823 -1.148 -4.018
-2.067 -0.626 9.206
Te Tb Li Ho
6 2 2 2
Direct
0.250 0.764 0.504
0.750 0.236 0.496
0.750 0.424 0.174
0.250 0.576 0.826
0.750 0.910 0.123
0.250 0.090 0.877
0.750 0.813 0.768
0.250 0.187 0.232
0.750 0.915 0.415
0.250 0.085 0.585
0.250 0.667 0.163
0.750 0.333 0.837

***

Record 12
PBE LiTbHoTl, optimized geometry; uncorrected energy = -3.564 eV/atom; DOS at the Fermi energy = 0.80 states/eV per atom; magnetic moment = 0.00 μB/f.u.; formation energy from the elements = -0.769 eV/f.u.
1.0
5.283 0.000 0.000
2.642 4.575 0.000
2.642 1.525 4.314
Ho Tb Li Tl
1 1 1 1
Direct
0.250 0.250 0.250
0.750 0.750 0.750
0.000 0.000 0.000
0.500 0.500 0.500

***

Record 13
PBE Li2TbHo2Tl2, optimized geometry; uncorrected energy = -3.365 eV/atom; DOS at the Fermi energy = 0.69 states/eV per atom; magnetic moment = 0.00 μB/f.u.; formation energy from the elements = -1.206 eV/f.u.
1.0
4.818 0.000 0.000
2.409 4.173 0.000
2.409 1.391 8.902
Tb Li Ho Tl
1 2 2 2
Direct
0.000 0.000 0.000
0.602 0.602 0.195
0.398 0.398 0.805
0.873 0.873 0.382
0.127 0.127 0.618
0.739 0.739 0.784
0.261 0.261 0.216

***

Record 14
PBE LiTbHo2Tl4, optimized geometry; uncorrected energy = -3.468 eV/atom; DOS at the Fermi energy = 0.56 states/eV per atom; magnetic moment = 0.00 μB/f.u.; formation energy from the elements = -2.576 eV/f.u.
1.0
-0.035 1.793 -4.910
4.070 -0.922 -3.148
-2.445 -7.196 -5.393
Tl Ho Li Tb
4 2 1 1
Direct
0.873 0.873 0.382
0.127 0.127 0.618
0.377 0.377 0.868
0.623 0.623 0.132
0.246 0.246 0.263
0.754 0.754 0.737
0.500 0.500 0.500
0.000 0.000 0.000

***

Record 15
PBE Li2TbHoTl4, optimized geometry; uncorrected energy = -3.129 eV/atom; DOS at the Fermi energy = 0.21 states/eV per atom; magnetic moment = 0.00 μB/f.u.; formation energy from the elements = -2.532 eV/f.u.
1.0
5.190 0.000 0.000
2.595 4.495 0.000
2.595 1.498 8.442
Li Tl Ho Tb
2 4 1 1
Direct
0.250 0.250 0.250
0.750 0.750 0.750
0.625 0.625 0.126
0.874 0.874 0.377
0.375 0.375 0.874
0.126 0.126 0.623
0.500 0.500 0.500
0.000 0.000 0.000

***

Record 16
PBE LiTbHoTm, optimized geometry; uncorrected energy = -3.732 eV/atom; DOS at the Fermi energy = 0.74 states/eV per atom; magnetic moment = 0.00 μB/f.u.; formation energy from the elements = 0.666 eV/f.u.
1.0
-4.413 3.036 0.929
-4.772 -1.394 -2.200
-3.995 -1.905 3.156
Li Tm Tb Ho
1 1 1 1
Direct
0.000 0.000 0.000
0.500 0.500 0.500
0.750 0.750 0.750
0.250 0.250 0.250

***

Record 17
PBE LiTbHoZn, optimized geometry; uncorrected energy = -3.216 eV/atom; DOS at the Fermi energy = 1.27 states/eV per atom; magnetic moment = 0.00 μB/f.u.; formation energy from the elements = -0.468 eV/f.u.
1.0
-0.927 -0.824 -4.946
1.752 -4.226 -2.253
-3.246 -3.671 -1.408
Zn Ho Li Tb
1 1 1 1
Direct
0.500 0.500 0.500
0.250 0.250 0.250
0.000 0.000 0.000
0.750 0.750 0.750

***

Record 18
PBE LiHo2Tc, optimized geometry; uncorrected energy = -5.411 eV/atom; E above lowest polymorph = 0 kJ/mol of formula units; DOS at the Fermi energy = 0.86 states/eV per atom; magnetic moment = 0.00 μB/f.u.; formation energy from the elements = -0.207 eV/f.u.
1.0
3.454 0.000 0.000
0.000 3.454 0.000
0.000 0.000 7.843
Tc Ho Li
1 2 1
Direct
0.500 0.500 0.000
0.000 0.000 0.795
0.000 0.000 0.205
0.500 0.500 0.500

***

Record 19
PBE LiHoTc, optimized geometry; uncorrected energy = -5.242 eV/atom; DOS at the Fermi energy = 0.99 states/eV per atom; magnetic moment = 0.00 μB/f.u.; formation energy from the elements = 1.130 eV/f.u.
1.0
2.998 0.000 0.000
-1.499 8.646 7.412
0.000 3.332 8.074
Li Tc Ho
2 2 2
Direct
0.874 0.749 0.670
0.126 0.251 0.330
0.089 0.177 0.718
0.911 0.823 0.282
0.170 0.340 0.846
0.830 0.660 0.154

***

Record 20
PBE LiHo2Tc, optimized geometry; uncorrected energy = -5.184 eV/atom; E above lowest polymorph = 87 kJ/mol of formula units; DOS at the Fermi energy = 0.71 states/eV per atom; magnetic moment = 0.00 μB/f.u.; formation energy from the elements = 0.698 eV/f.u.
1.0
3.421 0.000 0.000
1.711 2.963 0.000
1.711 0.988 9.697
Ho Li Tc
2 1 1
Direct
0.736 0.736 0.792
0.264 0.264 0.208
0.500 0.500 0.500
0.000 0.000 0.000

***

no.,calculated density (Mg/m³)
1,7.68
2,7.61
3,8.41
4,7.13
5,6.06
6,7.27
7,7.61
8,6.15
9,7.56
10,6.14
11,6.91
12,8.52
13,8.46
14,10.45
15,9.74
16,7.30
17,7.02
18,7.72
19,6.63
20,7.35